1.
Below is an optimized crystal structure of MgCuBr2, with properties calculated at the PBE level.

abc: 6.2865 6.2865 11.8300
angles: 90.00 90.00 90.00
Space group I-42d (No. 122)
Unique sites:
Mg 0.0000 0.0000 0.0000 [4 per cell]
Cu 0.0000 0.0000 0.5000 [4 per cell]
Br 0.2077 0.2500 0.6250 [8 per cell]

## Properties
- energy above the lowest structure with this stoichiometry (eV per atom) = 0.1667
- crystal system = tetragonal
- formation energy without anion corrections (eV per atom) = -0.335



2.
Below is an optimized crystal structure of Pm2BiN, with properties calculated at the PBE level.

abc: 4.7047 4.7047 9.3395
angles: 90.00 90.00 90.00
Space group P4/nmm (No. 129, origin choice 2)
Unique sites:
Pm 0.2500 0.2500 0.1777 [2 per cell]
Pm 0.2500 0.7500 0.5000 [2 per cell]
Bi 0.2500 0.2500 0.8082 [2 per cell]
N 0.2500 0.2500 0.4199 [2 per cell]

## Properties
- energy above the lowest structure with this stoichiometry (eV per atom) = 0.0000
- crystal system = tetragonal
- formation energy without anion corrections (eV per atom) = -1.191



3.
Below is an optimized crystal structure of AlOs, with properties calculated at the PBE level.

abc: 2.9995 4.1532 9.0490
angles: 90.00 90.00 90.00
Space group Imma (No. 74)
Unique sites:
Al 0.0000 0.2500 0.1157 [4 per cell]
Os 0.0000 0.2500 0.6286 [4 per cell]

## Properties
- crystal system = orthorhombic
- energy of formation from the pure elements (meV/atom) = -283



4.
Below is an optimized crystal structure of Tb5Dy4Tl, with properties calculated at the PBE level.

abc: 10.6034 10.6034 5.8268
angles: 90.00 90.00 90.00
Space group I4mm (No. 107)
Unique sites:
Tb 0.0000 0.0000 0.0000 [2 per cell]
Tb 0.1861 0.1861 0.2903 [8 per cell]
Dy 0.0000 0.3172 0.8003 [8 per cell]
Tl 0.0000 0.0000 0.5193 [2 per cell]

## Properties
- energy above the lowest structure with this stoichiometry (eV per atom) = 0.1059
- crystal system = tetragonal
- energy of formation from the pure elements (meV/atom) = 146



5.
Below is an optimized crystal structure of BaReNiRu2, with properties calculated at the PBE level.

abc: 4.7442 4.7442 4.5735
angles: 90.00 90.00 90.00
Space group P4/mmm (No. 123)
Unique sites:
Ba 0.0000 0.0000 0.0000 [1 per cell]
Re 0.5000 0.5000 0.0000 [1 per cell]
Ni 0.5000 0.5000 0.5000 [1 per cell]
Ru 0.0000 0.5000 0.5000 [2 per cell]

## Properties
- crystal system = tetragonal
- energy of formation from the pure elements (meV/atom) = 1367



6.
Below is an optimized crystal structure of LiSi2W, with properties calculated at the PBE level.

abc: 5.4710 7.5299 2.6823
angles: 90.00 92.18 90.00
Space group C2/m (No. 12)
Unique sites:
Li 0.0000 0.0000 0.0000 [2 per cell]
Si 0.2500 0.2500 0.5000 [4 per cell]
W 0.0000 0.5000 0.0000 [2 per cell]

## Properties
- energy above the lowest structure with this stoichiometry (eV per atom) = 0.1361
- crystal system = monoclinic
- formation energy without anion corrections (eV per atom) = 0.077



7.
Below is an optimized crystal structure of Nd2Si2Ni5, with properties calculated at the PBE level.

abc: 4.1177 4.1177 8.3276
angles: 90.00 90.00 90.00
Space group P4/mmm (No. 123)
Unique sites:
Nd 0.0000 0.0000 0.0000 [1 per cell]
Nd 0.0000 0.0000 0.5000 [1 per cell]
Si 0.5000 0.5000 0.1561 [2 per cell]
Ni 0.0000 0.5000 0.2749 [4 per cell]
Ni 0.5000 0.5000 0.5000 [1 per cell]

## Properties
- crystal system = tetragonal
- formation energy without anion corrections (eV per atom) = -0.500



8.
Below is an optimized crystal structure of YZn12Ni7, with properties calculated at the PBE level.

abc: 8.7334 8.7334 8.7334
angles: 90.00 90.00 90.00
Space group Im-3 (No. 204)
Unique sites:
Y 0.0000 0.0000 0.0000 [2 per cell]
Zn 0.0000 0.2386 0.3450 [24 per cell]
Ni 0.0000 0.0000 0.5000 [6 per cell]
Ni 0.2500 0.2500 0.2500 [8 per cell]

## Properties
- crystal system = cubic
- energy of formation from the pure elements (meV/atom) = 156



| no. | magnetic moment (Bohr magnetons per cell) | DOS(E_F) (states/eV per atom) |
| --- | --- | --- |
| 1 | 0.00 | 0.209 |
| 2 | 0.00 | 0.158 |
| 3 | 0.00 | 0.347 |
| 4 | 0.00 | 1.423 |
| 5 | 3.96 | 1.732 |
| 6 | 0.00 | 0.498 |
| 7 | 0.00 | 0.551 |
| 8 | 0.00 | 0.599 |